Entry 1:
Computed, not measured: a relaxed P2PtI crystal at the PBE level of DFT.

Geometry as extended XYZ:
```
8
Lattice="-3.2264 3.2264 4.9510 3.2264 -3.2264 4.9510 3.2264 3.2264 -4.9510" Properties=species:S:1:pos:R:3 pbc="T T T"
P 4.8395 1.0294 -1.2377
P 1.0294 1.6132 1.2377
P -1.6132 2.1969 3.7132
P 2.1969 1.6132 6.1887
Pt 0.0000 0.0000 0.0000
Pt 0.0000 3.2264 2.4755
I 3.2264 0.0000 2.4755
I 0.0000 0.0000 4.9510
```

E	-35.3	eV/cell

---

Entry 2:
Computed, not measured: a relaxed TmZnGaPt3 crystal at the PBE level of DFT.

Geometry as extended XYZ:
```
12
Lattice="3.3319 -5.9585 0.0000 3.3319 5.9585 0.0000 0.0000 0.0000 5.6187" Properties=species:S:1:pos:R:3 pbc="T T T"
Tm 3.3319 3.7264 4.2141
Tm 3.3319 -3.7264 1.4047
Zn 3.3319 0.8439 4.2141
Zn 3.3319 -0.8439 1.4047
Ga 3.3319 4.3205 1.4047
Ga 3.3319 -4.3205 4.2141
Pt 1.4040 0.0000 0.0000
Pt 1.4040 0.0000 2.8094
Pt 3.3319 1.9058 1.4047
Pt 3.3319 -1.9058 4.2141
Pt 5.2599 0.0000 0.0000
Pt 5.2599 0.0000 2.8094
```

E	-61.4	eV/cell
ΔE_f	-0.64	eV/atom

---

Q: What is the E in the second record?
A: -61.4 eV/cell

---

Q: Among the records above, which one has the highest E?
A: P2PtI

---

Q: Which value of E does entry 2 give?
A: -61.4 eV/cell

---

Q: Which of these has the highest E?
A: P2PtI